VASP calculation (PBE) on a relaxed structure of Pm19Dy6Y4.

Calculated values
SG ... I23
DFT formation energy ... 371.2 meV per atom
Size of the total moment ... 0.0 μB/f.u.

abc: 10.957 10.957 10.957
angles: 109.47 109.47 109.47
Sites, in units of the cell vectors:
1 Pm 0.000 0.000 0.000
2 Pm 0.000 0.260 0.260
3 Pm 0.000 0.740 0.740
4 Pm 0.020 0.219 0.677
5 Pm 0.199 0.980 0.657
6 Pm 0.219 0.677 0.020
7 Pm 0.260 0.000 0.260
8 Pm 0.260 0.260 0.000
9 Pm 0.323 0.542 0.343
10 Pm 0.343 0.323 0.542
11 Pm 0.458 0.781 0.801
12 Pm 0.542 0.343 0.323
13 Pm 0.657 0.199 0.980
14 Pm 0.677 0.020 0.219
15 Pm 0.740 0.000 0.740
16 Pm 0.740 0.740 0.000
17 Pm 0.781 0.801 0.458
18 Pm 0.801 0.458 0.781
19 Pm 0.980 0.657 0.199
20 Dy 0.125 0.500 0.625
21 Dy 0.375 0.875 0.500
22 Dy 0.500 0.375 0.875
23 Dy 0.500 0.625 0.125
24 Dy 0.625 0.125 0.500
25 Dy 0.875 0.500 0.375
26 Y 0.000 0.000 0.360
27 Y 0.000 0.360 0.000
28 Y 0.360 0.000 0.000
29 Y 0.640 0.640 0.640

VASP calculation (PBE) on a relaxed structure of Cs3ZnTe.

Calculated values
SG ... Pm-3m
E_form (uncorrected) ... -0.358 eV per atom
Distance to the lowest polymorph of the same formula ... 0.000 eV per formula unit
Size of the total moment ... 0.0 μB/f.u.

abc: 7.425 7.425 7.425
angles: 90.00 90.00 90.00
Sites, in units of the cell vectors:
1 Cs 0.000 0.000 0.500
2 Cs 0.000 0.500 0.000
3 Cs 0.500 0.000 0.000
4 Zn 0.500 0.500 0.500
5 Te 0.000 0.000 0.000

VASP calculation (PBE) on a relaxed structure of Tb3In4AgTe8.

Calculated values
SG ... R-3m
E_form (uncorrected) ... -0.740 eV per atom
Size of the total moment ... 0.0 μB/f.u.

abc: 9.221 9.221 9.221
angles: 57.24 57.24 57.24
Sites, in units of the cell vectors:
1 Tb 0.000 0.500 0.500
2 Tb 0.500 0.000 0.500
3 Tb 0.500 0.500 0.000
4 In 0.000 0.000 0.500
5 In 0.000 0.500 0.000
6 In 0.500 0.000 0.000
7 In 0.500 0.500 0.500
8 Ag 0.000 0.000 0.000
9 Te 0.246 0.246 0.740
10 Te 0.246 0.740 0.246
11 Te 0.257 0.257 0.257
12 Te 0.260 0.754 0.754
13 Te 0.740 0.246 0.246
14 Te 0.743 0.743 0.743
15 Te 0.754 0.260 0.754
16 Te 0.754 0.754 0.260

VASP calculation (PBE) on a relaxed structure of TaAsP.

Calculated values
SG ... F-43m
DFT formation energy ... 285.9 meV per atom
Distance to the lowest polymorph of the same formula ... 2.148 eV per formula unit
Size of the total moment ... 0.0 μB/f.u.

abc: 4.251 4.251 4.251
angles: 60.00 60.00 60.00
Sites, in units of the cell vectors:
1 Ta 0.000 0.000 0.000
2 As 0.500 0.500 0.500
3 P 0.750 0.750 0.750

VASP calculation (PBE) on a relaxed structure of TbTmAl.

Calculated values
SG ... I4mm
DFT formation energy ... -254.7 meV per atom
Distance to the lowest polymorph of the same formula ... 0.000 eV per formula unit
Size of the total moment ... 0.0 μB/f.u.

abc: 7.097 7.097 7.097
angles: 152.05 152.05 39.94
Sites, in units of the cell vectors:
1 Tb 0.000 0.000 0.000
2 Tm 0.702 0.702 0.000
3 Al 0.348 0.348 0.000

VASP calculation (PBE) on a relaxed structure of Dy2YPt3.

Calculated values
SG ... Cmmm
DFT formation energy ... -1217.6 meV per atom
Size of the total moment ... 0.0 μB/f.u.

abc: 7.861 7.861 3.454
angles: 90.00 90.00 143.11
Sites, in units of the cell vectors:
1 Dy 0.166 0.834 0.000
2 Dy 0.834 0.166 0.000
3 Y 0.500 0.500 0.000
4 Pt 0.000 0.000 0.500
5 Pt 0.332 0.668 0.500
6 Pt 0.668 0.332 0.500

VASP calculation (PBE) on a relaxed structure of AgAsPBr2.

Calculated values
SG ... P4/mmm
E_form (uncorrected) ... 0.887 eV per atom
Distance to the lowest polymorph of the same formula ... 1.982 eV per formula unit
Size of the total moment ... 0.6 μB/f.u.

abc: 5.123 5.123 5.438
angles: 90.00 90.00 90.00
Sites, in units of the cell vectors:
1 Ag 0.000 0.000 0.000
2 As 0.000 0.000 0.500
3 P 0.500 0.500 0.500
4 Br 0.000 0.500 0.000
5 Br 0.500 0.000 0.000

VASP calculation (PBE) on a relaxed structure of TlRhNF2.

Calculated values
SG ... P4/mmm
E_form (uncorrected) ... -0.667 eV per atom
Distance to the lowest polymorph of the same formula ... 0.000 eV per formula unit
Size of the total moment ... 0.2 μB/f.u.

abc: 4.569 4.569 3.689
angles: 90.00 90.00 90.00
Sites, in units of the cell vectors:
1 Tl 0.000 0.000 0.000
2 Rh 0.500 0.500 0.500
3 N 0.500 0.500 0.000
4 F 0.000 0.500 0.500
5 F 0.500 0.000 0.500

VASP calculation (PBE) on a relaxed structure of Sr2Zn3Ag12Au.

Calculated values
SG ... R-3m
DFT formation energy ... 39.6 meV per atom
Size of the total moment ... 0.0 μB/f.u.

abc: 10.546 10.546 10.546
angles: 38.78 38.78 38.78
Sites, in units of the cell vectors:
1 Sr 0.148 0.148 0.148
2 Sr 0.852 0.852 0.852
3 Zn 0.000 0.500 0.500
4 Zn 0.500 0.000 0.500
5 Zn 0.500 0.500 0.000
6 Ag 0.089 0.089 0.690
7 Ag 0.089 0.690 0.089
8 Ag 0.141 0.570 0.570
9 Ag 0.310 0.911 0.911
10 Ag 0.430 0.430 0.859
11 Ag 0.430 0.859 0.430
12 Ag 0.570 0.141 0.570
13 Ag 0.570 0.570 0.141
14 Ag 0.690 0.089 0.089
15 Ag 0.859 0.430 0.430
16 Ag 0.911 0.310 0.911
17 Ag 0.911 0.911 0.310
18 Au 0.500 0.500 0.500

VASP calculation (PBE) on a relaxed structure of MoOs2Rh.

Calculated values
SG ... Cmmm
DFT formation energy ... 65.8 meV per atom
Distance to the lowest polymorph of the same formula ... 0.457 eV per formula unit
Size of the total moment ... 0.0 μB/f.u.

abc: 4.747 4.747 2.756
angles: 90.00 90.00 109.22
Sites, in units of the cell vectors:
1 Mo 0.000 0.000 0.000
2 Os 0.000 0.500 0.500
3 Os 0.500 0.000 0.500
4 Rh 0.500 0.500 0.000

VASP calculation (PBE) on a relaxed structure of LiNd2Zn.

Calculated values
SG ... P4/mmm
DFT formation energy ... -119.2 meV per atom
Distance to the lowest polymorph of the same formula ... 0.000 eV per formula unit
Size of the total moment ... 0.0 μB/f.u.

abc: 3.757 3.757 7.487
angles: 90.00 90.00 90.00
Sites, in units of the cell vectors:
1 Li 0.000 0.000 0.000
2 Nd 0.500 0.500 0.267
3 Nd 0.500 0.500 0.733
4 Zn 0.000 0.000 0.500

VASP calculation (PBE) on a relaxed structure of ZrRh.

Calculated values
SG ... Cm
DFT formation energy ... -682.4 meV per atom
Size of the total moment ... 0.0 μB/f.u.

abc: 5.319 5.319 7.483
angles: 114.09 114.09 35.80
Sites, in units of the cell vectors:
1 Zr 0.000 0.000 0.000
2 Zr 0.622 0.622 0.706
3 Zr 0.793 0.793 0.371
4 Rh 0.061 0.061 0.380
5 Rh 0.281 0.281 0.050
6 Rh 0.347 0.347 0.696

no.,volume (Å³ per cell)
1,1013
2,409
3,519
4,54
5,78
6,128
7,143
8,77
9,414
10,59
11,106
12,112